NaInBr2 | PBE | relaxed

Cell and atoms, written as POSCAR:
```
NaInBr2
1.0
3.834 0.000 0.000
0.000 3.834 0.000
0.000 0.000 7.884
Na In Br
1 1 2
Direct
0.000 0.000 0.000
0.000 0.000 0.500
0.500 0.500 0.231
0.500 0.500 0.769
```

* distance to the lowest polymorph of the same formula: 87.4 meV/atom
* ΔE_f (raw): -1.002 eV/atom

Ac9Nd4Hg11 | PBE | relaxed

Cell and atoms, written as POSCAR:
```
Ac9Nd4Hg11
1.0
8.336 -12.052 0.000
8.336 12.052 0.000
0.000 0.000 3.851
Ac Nd Hg
9 4 11
Direct
0.000 0.000 0.000
0.125 0.644 0.000
0.293 0.461 0.000
0.356 0.875 0.000
0.461 0.293 0.000
0.539 0.707 0.000
0.644 0.125 0.000
0.707 0.539 0.000
0.875 0.356 0.000
0.062 0.248 0.000
0.248 0.062 0.000
0.752 0.938 0.000
0.938 0.752 0.000
0.086 0.438 0.500
0.132 0.868 0.500
0.235 0.235 0.500
0.330 0.670 0.500
0.438 0.086 0.500
0.500 0.500 0.500
0.562 0.914 0.500
0.670 0.330 0.500
0.765 0.765 0.500
0.868 0.132 0.500
0.914 0.562 0.500
```

* energy relative to the elements: -377.2 meV/atom